# 1
Pm3Si2Rh3 | Alexandria via LeMat-Bulk | GGA-PBE | relaxed; density of states at the Fermi level = 11.09 states/eV per cell; formation energy (no corrections) = -898 meV/atom; relative energy among the computed polymorphs = 0.43 eV/f.u.
1.0
2.092 -5.238 0.000
2.092 5.238 0.000
0.000 0.000 15.027
Pm Si Rh
6 4 6
direct
0.074 0.926 0.608
0.074 0.926 0.892
0.363 0.637 0.750
0.637 0.363 0.250
0.926 0.074 0.108
0.926 0.074 0.392
0.214 0.786 0.102
0.214 0.786 0.398
0.786 0.214 0.602
0.786 0.214 0.898
0.330 0.670 0.250
0.345 0.655 0.533
0.345 0.655 0.967
0.655 0.345 0.033
0.655 0.345 0.467
0.670 0.330 0.750

---

# 2
CrGaRhN2 | Alexandria via LeMat-Bulk | GGA-PBE | relaxed; density of states at the Fermi level = 4.09 states/eV per cell; formation energy (no corrections) = 509 meV/atom
1.0
3.598 0.000 0.000
0.000 3.598 0.000
0.000 0.000 5.290
Cr Ga Rh N
1 1 1 2
direct
0.000 0.000 0.000
0.500 0.500 0.500
0.000 0.000 0.500
0.000 0.500 0.000
0.500 0.000 0.000

---

# 3
KH4Au | Alexandria via LeMat-Bulk | GGA-PBE | relaxed; density of states at the Fermi level = 0.00 states/eV per cell; relative energy among the computed polymorphs = 0.00 eV/f.u.
1.0
4.301 0.000 0.000
1.891 4.702 0.000
1.917 1.299 4.547
K H Au
1 4 1
direct
0.000 0.000 0.000
0.333 0.860 0.447
0.340 0.446 0.858
0.660 0.554 0.142
0.667 0.140 0.553
0.500 0.500 0.500

---

# 4
Mg2POs2 | Alexandria via LeMat-Bulk | GGA-PBE | relaxed; density of states at the Fermi level = 2.74 states/eV per cell; relative energy among the computed polymorphs = 0.00 eV/f.u.
1.0
6.057 0.000 0.000
0.000 6.057 0.000
0.000 0.000 4.460
Mg P Os
4 2 4
direct
0.165 0.335 0.000
0.335 0.835 0.000
0.665 0.165 0.000
0.835 0.665 0.000
0.000 0.000 0.500
0.500 0.500 0.500
0.147 0.647 0.500
0.353 0.147 0.500
0.647 0.853 0.500
0.853 0.353 0.500

---

Q: Look up the density of states at the Fermi level of the second one.
A: 4.09 states/eV per cell